Record 1
{
  "formula": "DyGa3",
  "functional": "GGA-PBEsol",
  "state": "relaxed",
  "cell": [[4.477, 0.000, 0.000], [0.000, 6.165, 0.000], [0.000, -3.083, 5.339]],
  "species": ["Dy", "Dy", "Ga", "Ga", "Ga", "Ga", "Ga", "Ga"],
  "fractional_positions": [[0.750, 0.333, 0.667], [0.250, 0.667, 0.333], [0.250, 0.704, 0.852], [0.250, 0.148, 0.296], [0.250, 0.148, 0.852], [0.750, 0.296, 0.148], [0.750, 0.852, 0.704], [0.750, 0.852, 0.148]],
  "vol_a3_per_cell": 147,
  "formation_energy_ev_per_atom": -0.59,
  "energy_ev_per_atom": -4.3440
}

Record 2
{
  "formula": "DyGa3",
  "functional": "GGA-PBEsol",
  "state": "relaxed",
  "cell": [[-0.224, 0.436, 4.166], [3.593, -2.124, 0.415], [2.153, 3.591, -0.260]],
  "species": ["Ga", "Ga", "Ga", "Dy"],
  "fractional_positions": [[0.500, 0.500, 0.000], [0.500, 0.000, 0.500], [0.000, 0.500, 0.500], [0.000, 0.000, 0.000]],
  "vol_a3_per_cell": 74,
  "formation_energy_ev_per_atom": -0.58,
  "energy_ev_per_atom": -4.3306
}

Record 3
{
  "formula": "DyGa2",
  "functional": "GGA-PBEsol",
  "state": "relaxed",
  "cell": [[4.008, 0.000, 0.000], [0.000, 4.154, 0.000], [0.000, -2.077, 3.597]],
  "species": ["Ga", "Ga", "Dy"],
  "fractional_positions": [[0.500, 0.333, 0.667], [0.500, 0.667, 0.333], [0.000, 0.000, 0.000]],
  "vol_a3_per_cell": 60,
  "formation_energy_ev_per_atom": -0.70,
  "energy_ev_per_atom": -4.5863
}